Entry 1:
Compound: ZrC2
Source: the Alexandria database
Functional: PBE
Structure: relaxed

E in eV per cell: -107.45
D(E_F) in states/eV per cell: 2.9
DFT formation energy in eV per formula unit: 0.13

a = 5.1043 Å, b = 2.7609 Å, c = 8.6893 Å
α = 90.00°, β = 90.00°, γ = 90.00°
Positions (direct):
Zr 0.2376 0.2500 0.1204
Zr 0.2624 0.7500 0.6204
Zr 0.7376 0.2500 0.3796
Zr 0.7624 0.7500 0.8796
C 0.1450 0.2500 0.8425
C 0.2237 0.2500 0.3907
C 0.2763 0.7500 0.8907
C 0.3550 0.7500 0.3425
C 0.6450 0.2500 0.6575
C 0.7237 0.2500 0.1093
C 0.7763 0.7500 0.6093
C 0.8550 0.7500 0.1575

=====

Entry 2:
Compound: Zr5C3
Source: the Alexandria database
Functional: PBE
Structure: relaxed

E in eV per cell: -68.64
Excess energy over the best structure of this formula in the dataset in meV per atom: 703
D(E_F) in states/eV per cell: 8.8
DFT formation energy in eV per formula unit: 1.77

a = 2.9751 Å, b = 2.9751 Å, c = 14.0302 Å
α = 90.00°, β = 90.00°, γ = 90.00°
Positions (direct):
Zr 0.0000 0.0000 0.0000
Zr 0.0000 0.0000 0.1969
Zr 0.0000 0.0000 0.8031
Zr 0.5000 0.5000 0.4031
Zr 0.5000 0.5000 0.5969
C 0.0000 0.0000 0.5000
C 0.5000 0.5000 0.1121
C 0.5000 0.5000 0.8879

=====

Entry 3:
Compound: ZrC2
Source: the Alexandria database
Functional: PBE
Structure: relaxed

E in eV per cell: -77.81
D(E_F) in states/eV per cell: 2.8
DFT formation energy in eV per formula unit: 1.06

a = 3.5142 Å, b = 3.5142 Å, c = 12.6777 Å
α = 90.00°, β = 90.00°, γ = 120.00°
Positions (direct):
Zr 0.0000 0.0000 0.0000
Zr 0.3333 0.6667 0.3715
Zr 0.6667 0.3333 0.6285
C 0.0000 0.0000 0.4430
C 0.0000 0.0000 0.5570
C 0.3333 0.6667 0.0966
C 0.3333 0.6667 0.1982
C 0.6667 0.3333 0.8018
C 0.6667 0.3333 0.9034

=====

Entry 4:
Compound: ZrC2
Source: the Alexandria database
Functional: PBE
Structure: relaxed

E in eV per cell: -102.89
D(E_F) in states/eV per cell: 1.9
DFT formation energy in eV per formula unit: 1.27

a = 2.9228 Å, b = 13.2982 Å, c = 3.1827 Å
α = 90.00°, β = 90.00°, γ = 90.00°
Positions (direct):
Zr 0.0000 0.1311 0.0000
Zr 0.0000 0.8689 0.0000
Zr 0.5000 0.3689 0.0000
Zr 0.5000 0.6311 0.0000
C 0.0000 0.0000 0.5000
C 0.0000 0.2800 0.5000
C 0.0000 0.5000 0.0000
C 0.0000 0.7200 0.5000
C 0.5000 0.0000 0.0000
C 0.5000 0.2200 0.5000
C 0.5000 0.5000 0.5000
C 0.5000 0.7800 0.5000

=====

Entry 5:
Compound: Zr5C3
Source: the Alexandria database
Functional: PBE
Structure: relaxed

E in eV per cell: -148.53
Excess energy over the best structure of this formula in the dataset in meV per atom: 0
D(E_F) in states/eV per cell: 10.8
DFT formation energy in eV per formula unit: -3.85

a = 8.8992 Å, b = 8.8992 Å, c = 5.5495 Å
α = 90.34°, β = 90.34°, γ = 143.37°
Positions (direct):
Zr 0.0238 0.6168 0.7527
Zr 0.1751 0.3657 0.6808
Zr 0.2208 0.2208 0.1788
Zr 0.3657 0.1751 0.6808
Zr 0.3832 0.9762 0.2473
Zr 0.6168 0.0238 0.7527
Zr 0.6343 0.8249 0.3192
Zr 0.7792 0.7792 0.8212
Zr 0.8249 0.6343 0.3192
Zr 0.9762 0.3832 0.2473
C 0.0000 0.0000 0.5000
C 0.1028 0.8972 0.0000
C 0.3010 0.6990 0.5000
C 0.5000 0.5000 0.5000
C 0.6990 0.3010 0.5000
C 0.8972 0.1028 0.0000

=====

Entry 6:
Compound: Zr2C
Source: the Alexandria database
Functional: PBE
Structure: relaxed

E in eV per cell: -84.42
D(E_F) in states/eV per cell: 3.0
DFT formation energy in eV per formula unit: -1.82

a = 3.3471 Å, b = 3.3471 Å, c = 16.1529 Å
α = 90.00°, β = 90.00°, γ = 120.00°
Positions (direct):
Zr 0.0000 0.0000 0.2447
Zr 0.0000 0.0000 0.7553
Zr 0.3333 0.6667 0.4219
Zr 0.3333 0.6667 0.9114
Zr 0.6667 0.3333 0.0886
Zr 0.6667 0.3333 0.5781
C 0.0000 0.0000 0.5000
C 0.3333 0.6667 0.1667
C 0.6667 0.3333 0.8333

=====

Entry 7:
Compound: Ca8Cd
Source: the Alexandria database
Functional: PBE
Structure: relaxed

E in eV per cell: -17.30
D(E_F) in states/eV per cell: 11.4
DFT formation energy in eV per formula unit: -0.38

a = 8.5154 Å, b = 8.5154 Å, c = 8.5154 Å
α = 95.46°, β = 95.46°, γ = 144.05°
Positions (direct):
Ca 0.0000 0.3272 0.3272
Ca 0.0000 0.6728 0.6728
Ca 0.3272 0.0000 0.3272
Ca 0.3419 0.3419 0.6838
Ca 0.3419 0.6581 0.0000
Ca 0.6581 0.3419 0.0000
Ca 0.6581 0.6581 0.3162
Ca 0.6728 0.0000 0.6728
Cd 0.0000 0.0000 0.0000

=====

Entry 8:
Compound: CaCd3
Source: the Alexandria database
Functional: PBE
Structure: relaxed

E in eV per cell: -17.28
D(E_F) in states/eV per cell: 6.5
DFT formation energy in eV per formula unit: -1.01

a = 6.0436 Å, b = 6.0436 Å, c = 10.2482 Å
α = 107.07°, β = 107.07°, γ = 59.34°
Positions (direct):
Ca 0.0000 0.0000 0.0000
Ca 0.1431 0.1431 0.4299
Ca 0.8569 0.8569 0.5701
Cd 0.0772 0.5877 0.2551
Cd 0.3347 0.3347 0.0044
Cd 0.4124 0.4124 0.7465
Cd 0.4123 0.9228 0.7449
Cd 0.5000 0.5000 0.5000
Cd 0.5877 0.0772 0.2551
Cd 0.5876 0.5876 0.2535
Cd 0.6653 0.6653 0.9956
Cd 0.9228 0.4123 0.7449

=====

Entry 9:
Compound: CaCd12
Source: the Alexandria database
Functional: PBE
Structure: relaxed

E in eV per cell: -9.65
Excess energy over the best structure of this formula in the dataset in meV per atom: 343
D(E_F) in states/eV per cell: 7.9
DFT formation energy in eV per formula unit: 3.33

a = 8.5384 Å, b = 8.5384 Å, c = 8.5384 Å
α = 60.00°, β = 60.00°, γ = 60.00°
Positions (direct):
Ca 0.0000 0.0000 0.0000
Cd 0.1595 0.5000 0.5000
Cd 0.1595 0.5000 0.8405
Cd 0.1595 0.8405 0.5000
Cd 0.5000 0.1595 0.5000
Cd 0.5000 0.1595 0.8405
Cd 0.5000 0.5000 0.1595
Cd 0.5000 0.5000 0.8405
Cd 0.5000 0.8405 0.1595
Cd 0.5000 0.8405 0.5000
Cd 0.8405 0.1595 0.5000
Cd 0.8405 0.5000 0.1595
Cd 0.8405 0.5000 0.5000

=====

Entry 10:
Compound: CaCd3
Source: the Alexandria database
Functional: PBE
Structure: relaxed

E in eV per cell: -11.62
D(E_F) in states/eV per cell: 3.2
DFT formation energy in eV per formula unit: -1.06

a = 4.9121 Å, b = 6.5450 Å, c = 6.3257 Å
α = 90.00°, β = 90.00°, γ = 90.00°
Positions (direct):
Ca 0.2500 0.2500 0.1128
Ca 0.7500 0.7500 0.8872
Cd 0.2500 0.9995 0.6475
Cd 0.2500 0.5005 0.6475
Cd 0.2500 0.7500 0.2338
Cd 0.7500 0.0005 0.3525
Cd 0.7500 0.2500 0.7662
Cd 0.7500 0.4995 0.3525

=====

Repeat the sixth record exactly.
Compound: Zr2C
Source: the Alexandria database
Functional: PBE
Structure: relaxed

E in eV per cell: -84.42
D(E_F) in states/eV per cell: 3.0
DFT formation energy in eV per formula unit: -1.82

a = 3.3471 Å, b = 3.3471 Å, c = 16.1529 Å
α = 90.00°, β = 90.00°, γ = 120.00°
Positions (direct):
Zr 0.0000 0.0000 0.2447
Zr 0.0000 0.0000 0.7553
Zr 0.3333 0.6667 0.4219
Zr 0.3333 0.6667 0.9114
Zr 0.6667 0.3333 0.0886
Zr 0.6667 0.3333 0.5781
C 0.0000 0.0000 0.5000
C 0.3333 0.6667 0.1667
C 0.6667 0.3333 0.8333